[1]
This record from Alexandria describes a relaxed CsGdSn2 crystal. The functional is PBE.

## Properties
volume = 146 Å³/cell
ΔE_f = -0.43 eV per atom
final energy = -24.7 eV/f.u.

POSCAR file:
```
CsGdSn2
1.0
4.1628 0.0000 0.0000
0.0000 4.1628 0.0000
0.0000 0.0000 8.4504
Cs Gd Sn
1 1 2
direct
0.0000 0.0000 0.0000
0.0000 0.0000 0.5000
0.5000 0.5000 0.3282
0.5000 0.5000 0.6718
```

***

[2]
This record from Alexandria describes a relaxed NaEuCdRh crystal. The functional is PBE.

## Properties
volume = 88 Å³/cell
ΔE_f = -0.13 eV per atom
final energy = -20.4 eV/f.u.

POSCAR file:
```
NaEuCdRh
1.0
0.0000 3.5319 3.5319
3.5319 0.0000 3.5319
3.5319 3.5319 0.0000
Na Eu Cd Rh
1 1 1 1
direct
0.0000 0.0000 0.0000
0.7500 0.7500 0.7500
0.2500 0.2500 0.2500
0.5000 0.5000 0.5000
```

***

[3]
This record from Alexandria describes a relaxed TiSbAs2Se crystal. The functional is PBE.

## Properties
volume = 120 Å³/cell
relative energy among the computed polymorphs = 0 meV/atom
final energy = -24.4 eV/f.u.

POSCAR file:
```
TiSbAs2Se
1.0
5.0023 0.0000 0.0000
0.0000 5.0023 0.0000
0.0000 0.0000 4.8027
Ti Sb As Se
1 1 2 1
direct
0.0000 0.0000 0.0000
0.5000 0.5000 0.5000
0.0000 0.5000 0.0000
0.5000 0.0000 0.0000
0.0000 0.0000 0.5000
```